Entry 1:
Entry from the Alexandria database: a relaxed Tl2WCl5O crystal (PBE with a Hubbard U).

Unit cell a=7.0910 b=7.0910 c=7.0910 alpha=91.11 beta=119.36 gamma=119.36
Closest atoms and distances in Å follow each position.
Fractional coordinates of all 9 atoms:
Tl  0.5000  0.2339  0.7339  10 Cl 3.42-3.68, 2 O 3.65
Tl  0.5000  0.7339  0.2339  10 Cl 3.42-3.68, 2 O 3.65
W  0.0000  0.9817  0.9817  1 O 1.76
Cl  0.4800  0.2425  0.2425  1 W 2.44
Cl  0.5200  0.7625  0.7625  1 W 2.44
Cl  0.0000  0.7625  0.2425  1 W 2.44
Cl  0.0000  0.2425  0.7625  1 W 2.44
Cl  0.0000  0.2360  0.2360  1 W 2.52
O  0.0000  0.8047  0.8047  1 W 1.76

Computed properties:
Symmetry ... I4mm, No. 107
Uncorrected energy ... -36.57 eV per cell

Entry 2:
Entry from the Alexandria database: a relaxed TlW2Cl6O2 crystal (PBE with a Hubbard U).

Unit cell a=7.2482 b=7.2482 c=11.3658 alpha=72.50 beta=72.50 gamma=30.98
Closest atoms and distances in Å follow each position.
Fractional coordinates of all 11 atoms:
Tl  0.5000  0.5000  0.5000  8 Cl 3.28-3.42
O  0.5018  0.5018  0.8398  2 W 1.94
O  0.4982  0.4982  0.1602  2 W 1.94
W  0.0033  0.0033  0.8332  2 O 1.94
W  0.9967  0.9967  0.1668  2 O 1.94
Cl  0.1270  0.1270  0.9571  2 W 2.51-2.55
Cl  0.8757  0.8757  0.7302  1 W 2.42
Cl  0.1354  0.1354  0.6400  1 W 2.39
Cl  0.8646  0.8646  0.3600  1 W 2.39
Cl  0.1243  0.1243  0.2698  1 W 2.42
Cl  0.8730  0.8730  0.0429  2 W 2.51-2.55

Computed properties:
Symmetry ... C2/m, No. 12
Uncorrected energy ... -51.85 eV per cell

| no. | D(E_F) (states/eV/cell) |
| --- | --- |
| 1 | 0.00 |
| 2 | 1.36 |